No. 1
## Mg16Al12Ga (PBEsol)

Data for an optimized crystal structure of Mg16Al12Ga.

The structure in POSCAR format:
```
Mg16Al12Ga
1.0
9.0152 0.0173 0.0299
-2.9880 8.5056 0.0299
-2.9880 -4.2252 7.3820
Mg Al Ga
16 12 1
Direct
0.4089 0.7064 0.4089 Mg
0.9991 0.9991 0.9991 Mg
0.9983 0.3463 0.9983 Mg
0.6839 0.2847 0.6839 Mg
0.3178 0.9983 0.5974 Mg
0.4089 0.4089 0.7064 Mg
0.9983 0.5974 0.3178 Mg
0.9983 0.9983 0.3463 Mg
0.2847 0.6839 0.6839 Mg
0.5974 0.3178 0.9983 Mg
0.9983 0.3178 0.5974 Mg
0.6839 0.6839 0.2847 Mg
0.3463 0.9983 0.9983 Mg
0.3178 0.5974 0.9983 Mg
0.7064 0.4089 0.4089 Mg
0.5974 0.9983 0.3178 Mg
0.3584 0.1707 0.3584 Al
0.1854 0.8102 0.1854 Al
0.6335 0.0017 0.8163 Al
0.8163 0.6335 0.0017 Al
0.1707 0.3584 0.3584 Al
0.6335 0.8163 0.0017 Al
0.8102 0.1854 0.1854 Al
0.1854 0.1854 0.8102 Al
0.0017 0.8163 0.6335 Al
0.3584 0.3584 0.1707 Al
0.0017 0.6335 0.8163 Al
0.8163 0.0017 0.6335 Al
0.6833 0.6833 0.6833 Ga
```

Values from the calculation:
- distance to the lowest polymorph of the same formula (eV/atom) = 0.0038

No. 2
## NaMg30GaO32 (PBEsol)

Data for an optimized crystal structure of NaMg30GaO32.

The structure in POSCAR format:
```
NaMg30GaO32
1.0
8.4520 0.0000 0.0000
0.0000 8.4520 0.0000
0.0000 0.0000 8.4557
Na Mg Ga O
1 30 1 32
Direct
0.0000 0.0000 0.0000 Na
0.0000 0.5000 0.0000 Mg
0.5000 0.0000 0.0000 Mg
0.0000 0.0000 0.5000 Mg
0.0000 0.5000 0.5000 Mg
0.5000 0.0000 0.5000 Mg
0.5000 0.5000 0.5000 Mg
0.2463 0.2463 0.0000 Mg
0.2463 0.7537 0.0000 Mg
0.7537 0.2463 0.0000 Mg
0.7537 0.7537 0.0000 Mg
0.2488 0.2488 0.5000 Mg
0.2488 0.7512 0.5000 Mg
0.7512 0.2488 0.5000 Mg
0.7512 0.7512 0.5000 Mg
0.0000 0.2477 0.2490 Mg
0.0000 0.7523 0.2490 Mg
0.5000 0.2477 0.2513 Mg
0.5000 0.7523 0.2513 Mg
0.0000 0.2477 0.7510 Mg
0.0000 0.7523 0.7510 Mg
0.5000 0.2477 0.7487 Mg
0.5000 0.7523 0.7487 Mg
0.2477 0.0000 0.2490 Mg
0.2477 0.5000 0.2513 Mg
0.7523 0.0000 0.2490 Mg
0.7523 0.5000 0.2513 Mg
0.2477 0.0000 0.7510 Mg
0.2477 0.5000 0.7487 Mg
0.7523 0.0000 0.7510 Mg
0.7523 0.5000 0.7487 Mg
0.5000 0.5000 0.0000 Ga
0.0000 0.0000 0.2624 O
0.0000 0.5000 0.2506 O
0.5000 0.0000 0.2506 O
0.5000 0.5000 0.2430 O
0.0000 0.0000 0.7376 O
0.0000 0.5000 0.7494 O
0.5000 0.0000 0.7494 O
0.5000 0.5000 0.7570 O
0.2509 0.2509 0.2495 O
0.2509 0.7491 0.2495 O
0.7491 0.2509 0.2495 O
0.7491 0.7491 0.2495 O
0.2509 0.2509 0.7505 O
0.2509 0.7491 0.7505 O
0.7491 0.2509 0.7505 O
0.7491 0.7491 0.7505 O
0.0000 0.2643 0.0000 O
0.0000 0.7357 0.0000 O
0.5000 0.2609 0.0000 O
0.5000 0.7391 0.0000 O
0.0000 0.2530 0.5000 O
0.0000 0.7470 0.5000 O
0.5000 0.2526 0.5000 O
0.5000 0.7474 0.5000 O
0.2643 0.0000 0.0000 O
0.2609 0.5000 0.0000 O
0.7357 0.0000 0.0000 O
0.7391 0.5000 0.0000 O
0.2530 0.0000 0.5000 O
0.2526 0.5000 0.5000 O
0.7470 0.0000 0.5000 O
0.7474 0.5000 0.5000 O
```

No. 3
## MgAl2Cd (PBEsol)

Data for an optimized crystal structure of MgAl2Cd.

The structure in POSCAR format:
```
MgAl2Cd
1.0
-2.4388 0.9576 -1.3125
-2.8529 -2.2041 3.6928
2.8655 4.9761 1.5776
Al Cd Mg
2 1 1
Direct
0.0106 0.0106 0.0213 Al
0.7417 0.2417 0.4834 Al
0.4918 0.4918 0.9836 Cd
0.2559 0.7559 0.5118 Mg
```

No. 4
## ZrIrW2 (PBEsol)

Data for an optimized crystal structure of ZrIrW2.

The structure in POSCAR format:
```
ZrIrW2
1.0
3.2644 0.0000 0.0000
0.0000 3.2644 0.0000
0.0000 0.0000 6.2061
Ir W Zr
1 2 1
Direct
0.5000 0.5000 0.5000 Ir
0.0000 0.0000 0.7350 W
0.0000 0.0000 0.2650 W
0.5000 0.5000 0.0000 Zr
```

Values from the calculation:
- distance to the lowest polymorph of the same formula (eV/atom) = 0.2551

No. 5
## Ca4SbPt (PBEsol)

Data for an optimized crystal structure of Ca4SbPt.

The structure in POSCAR format:
```
Ca4SbPt
1.0
6.0954 0.0000 0.0000
3.0477 5.2788 0.0000
3.0477 1.7596 4.9769
Ca Pt Sb
4 1 1
Direct
0.3752 0.3752 0.3752 Ca
0.3752 0.3752 0.8744 Ca
0.8744 0.3752 0.3752 Ca
0.3752 0.8744 0.3752 Ca
0.7500 0.7500 0.7500 Pt
0.0000 0.0000 0.0000 Sb
```

No. 6
## MgPt2Rh (PBEsol)

Data for an optimized crystal structure of MgPt2Rh.

The structure in POSCAR format:
```
MgPt2Rh
1.0
-1.3212 -2.4471 -0.1564
1.5891 -1.1314 4.2775
-4.1206 2.1894 0.5539
Mg Rh Pt
1 1 2
Direct
0.0000 0.5000 0.5000 Mg
0.5000 0.0000 0.5000 Rh
0.0000 0.0000 0.0000 Pt
0.5000 0.5000 0.0000 Pt
```

no.,calculated total energy (eV/cell)
1,-80.39
2,-395.51
3,-10.66
4,-45.80
5,-18.90
6,-25.42